1.
ThAg2Bi3 after structural relaxation, computed with PBE.

## Properties
* magnetic moment: 0.00 μB per formula unit
* E: -4.24 eV/atom
* DFT formation energy: -109.5 meV per atom
* crystal system: orthorhombic

POSCAR file:
```
ThAg2Bi3
1.0
-1.434 1.200 4.005
-3.043 -5.481 0.553
10.066 -5.071 5.123
Bi Ag Th
6 4 2
direct
0.500 0.710 0.296
0.000 0.329 0.382
0.500 0.635 0.931
0.000 0.829 0.618
0.500 0.135 0.069
0.500 0.210 0.704
0.500 0.025 0.475
0.000 0.495 0.787
0.000 0.995 0.213
0.500 0.525 0.525
0.000 0.007 0.879
0.000 0.507 0.121
```

=====

2.
CsTh2Tl3Se6 after structural relaxation, computed with PBE.

## Properties
* ΔE_f (raw): -1.18 eV per atom
* magnetic moment: 0.00 μB per formula unit
* E: -4.82 eV/atom
* crystal system: monoclinic

POSCAR file:
```
CsTh2Tl3Se6
1.0
-2.917 -2.934 -1.586
4.956 -7.011 3.852
-5.075 3.774 8.545
Tl Se Cs Th
3 6 1 2
direct
0.835 0.172 0.669
0.165 0.828 0.331
0.500 0.500 0.000
0.685 0.139 0.370
0.960 0.712 0.921
0.321 0.438 0.642
0.315 0.861 0.630
0.040 0.288 0.079
0.679 0.562 0.358
0.500 0.000 0.000
0.827 0.660 0.655
0.173 0.340 0.345
```

=====

3.
PmNd2Mg after structural relaxation, computed with PBE.

## Properties
* magnetic moment: 0.00 μB per formula unit
* E: -3.97 eV/atom
* DFT formation energy: -0.3 meV per atom
* crystal system: tetragonal
* E above lowest polymorph: 39.7 meV/atom

POSCAR file:
```
PmNd2Mg
1.0
5.018 0.000 0.000
0.000 5.041 0.000
0.000 0.000 5.041
Nd Pm Mg
2 1 1
direct
0.000 0.000 0.500
0.000 0.500 0.000
0.500 0.500 0.500
0.500 0.000 0.000
```

=====

4.
CePrAl after structural relaxation, computed with PBE.

## Properties
* magnetic moment: 0.00 μB per formula unit
* E: -5.02 eV/atom
* DFT formation energy: -203.5 meV per atom
* crystal system: orthorhombic
* E above lowest polymorph: 0.0 meV/atom

POSCAR file:
```
CePrAl
1.0
-1.831 1.352 -2.551
-4.179 -2.958 1.431
-1.752 5.639 6.536
Pr Al Ce
2 2 2
direct
0.562 0.750 0.125
0.438 0.250 0.875
0.110 0.250 0.220
0.890 0.750 0.780
0.764 0.250 0.527
0.236 0.750 0.473
```

=====

5.
La2ErPuSe4 after structural relaxation, computed with PBE.

## Properties
* ΔE_f (raw): -1.82 eV per atom
* magnetic moment: 5.87 μB per formula unit
* E: -7.15 eV/atom
* crystal system: monoclinic

POSCAR file:
```
La2ErPuSe4
1.0
-3.175 0.950 -2.539
1.150 -6.126 -3.731
-4.740 -1.351 5.422
Se La Er Pu
4 2 1 1
direct
0.500 0.761 0.769
0.500 0.239 0.231
0.000 0.251 0.766
0.000 0.749 0.234
0.500 0.000 0.500
0.000 0.500 0.500
0.000 0.000 0.000
0.500 0.500 0.000
```

=====

6.
PuSnPd6 after structural relaxation, computed with PBE.

## Properties
* magnetic moment: 4.77 μB per formula unit
* E: -6.70 eV/atom
* DFT formation energy: -513.7 meV per atom
* crystal system: tetragonal
* E above lowest polymorph: 0.0 meV/atom

POSCAR file:
```
PuSnPd6
1.0
4.109 0.000 0.000
0.000 4.109 0.000
0.000 0.000 8.152
Pd Pu Sn
6 1 1
direct
0.500 0.500 0.000
0.000 0.500 0.757
0.500 0.000 0.243
0.500 0.500 0.500
0.000 0.500 0.243
0.500 0.000 0.757
0.000 0.000 0.500
0.000 0.000 0.000
```

=====

Q: Number 3 is which compound?
A: PmNd2Mg

=====

Copy entry 6 word for word.
PuSnPd6 after structural relaxation, computed with PBE.

## Properties
* magnetic moment: 4.77 μB per formula unit
* E: -6.70 eV/atom
* DFT formation energy: -513.7 meV per atom
* crystal system: tetragonal
* E above lowest polymorph: 0.0 meV/atom

POSCAR file:
```
PuSnPd6
1.0
4.109 0.000 0.000
0.000 4.109 0.000
0.000 0.000 8.152
Pd Pu Sn
6 1 1
direct
0.500 0.500 0.000
0.000 0.500 0.757
0.500 0.000 0.243
0.500 0.500 0.500
0.000 0.500 0.243
0.500 0.000 0.757
0.000 0.000 0.500
0.000 0.000 0.000
```